Material: Sc2IrAu2
Method: DFT, PBE
State: optimized geometry

Calculated values
Its crystal system is tetragonal. The calculation puts the formation energy at -0.521 eV per atom.

Unit cell a=7.4378 b=7.4378 c=3.4019 alpha=90.00 beta=90.00 gamma=90.00
Fractional positions:
Sc 0.1752 0.3248 0.0000
Sc 0.3248 0.8248 0.0000
Sc 0.6752 0.1752 0.0000
Sc 0.8248 0.6752 0.0000
Ir 0.0000 0.0000 0.5000
Ir 0.5000 0.5000 0.5000
Au 0.1303 0.6303 0.5000
Au 0.3697 0.1303 0.5000
Au 0.6303 0.8697 0.5000
Au 0.8697 0.3697 0.5000